## NaLa4Er3Se8 (PBE)

Data for crystalline NaLa4Er3Se8 at its relaxed geometry.

Properties
**Formation energy (no corrections)**: -1826.8 meV per atom
**Magnetic moment**: 0.00 Bohr magnetons per cell
**VASP energy**: -5.739 eV/atom
**Volume**: 417.0 Å³/f.u.

a b c (Å): 8.3551 8.3551 20.6929
angles (deg): 90.00 90.00 120.00
Space group R-3m (No. 166, hexagonal axes)
Asymmetric unit:
Na: 0.0000 0.0000 0.0000
La: 0.0000 0.0000 0.5000
La: 0.0000 0.5000 0.5000
Er: 0.0000 0.5000 0.0000
Se: 0.0000 0.0000 0.2572
Se: 0.0031 0.5015 0.2568

---

## InSnF4 (PBE)

Data for crystalline InSnF4 at its relaxed geometry.

Properties
**Formation energy (no corrections)**: -2111.6 meV per atom
**Magnetic moment**: 0.00 Bohr magnetons per cell
**VASP energy**: -4.483 eV/atom
**Volume**: 105.5 Å³/f.u.

a b c (Å): 6.893 6.935 4.412
angles (deg): 90.00 90.00 90.00
Space group Pmn2_1 (No. 31)
Asymmetric unit:
In: 0.000 0.064 0.000
Sn: 0.000 0.541 0.429
F: 0.000 0.042 0.501
F: 0.000 0.715 0.030
F: 0.211 0.314 0.018

---

## ZrIrCl2 (PBE)

Data for crystalline ZrIrCl2 at its relaxed geometry.

Properties
**Formation energy (no corrections)**: -334.9 meV per atom
**Magnetic moment**: 0.00 Bohr magnetons per cell
**VASP energy**: -5.610 eV/atom
**Volume**: 71.6 Å³/f.u.

a b c (Å): 3.1457 3.1457 25.0542
angles (deg): 90.00 90.00 120.00
Space group R-3m (No. 166, hexagonal axes)
Asymmetric unit:
Zr: 0.0000 0.0000 0.0000
Ir: 0.0000 0.0000 0.5000
Cl: 0.0000 0.0000 0.4082

---

## CrCo2H3 (PBE)

Data for crystalline CrCo2H3 at its relaxed geometry.

Properties
**Magnetic moment**: 4.58 Bohr magnetons per cell
**VASP energy**: -5.645 eV/atom
**Volume**: 38.3 Å³/f.u.

a b c (Å): 5.252 3.687 7.909
angles (deg): 90.00 90.00 90.00
Space group Pnma (No. 62)
Asymmetric unit:
Cr: 0.110 0.250 0.071
Co: 0.124 0.250 0.413
Co: 0.128 0.250 0.755
H: 0.110 0.750 0.415
H: 0.127 0.750 0.745
H: 0.142 0.750 0.089